A relaxed structure of MnAlMoIrF. Source: the Alexandria database, functional GGA+U.

```
5
Lattice="-0.925 0.770 -2.771 -3.824 -4.705 -0.030 -0.993 4.534 3.235" Properties=species:S:1:pos:R:3 pbc="T T T"
Mo -1.958 1.615 -0.076
Ir -3.503 1.710 2.112
Al -5.358 0.760 0.820
Mn -2.439 -1.046 0.995
F -5.003 -0.877 0.243
```

- theoretical density (g cm⁻³) = 7.65
- D(E_F) (states/eV per atom) = 0.373
- relative energy among the computed polymorphs (meV/atom) = 56.4